# 1
## RbSi (GGA-PBEsol)

Data for RbSi after structural relaxation.

Properties
Raw formation energy in eV per atom: -0.058
DFT total energy in eV per cell: -220.44
Offset from the most stable computed form in meV/atom: 0
Spin magnetization in μB per formula unit: 0.00

a b c (Å): 12.9129 12.9129 12.9129
angles (deg): 90.00 90.00 90.00
Last column: nearest neighbours and their distance in Å.
Element x y z (fractional)
Rb 0.0654 0.1412 0.3362  6 Si 3.41-3.72, 1 Rb 3.73
Rb 0.0654 0.8588 0.6638  6 Si 3.41-3.72, 1 Rb 3.73
Rb 0.1412 0.3362 0.0654  6 Si 3.41-3.72, 1 Rb 3.73
Rb 0.1412 0.6638 0.9346  6 Si 3.41-3.72, 1 Rb 3.73
Rb 0.1638 0.3588 0.5654  6 Si 3.41-3.72, 1 Rb 3.73
Rb 0.1638 0.6412 0.4346  6 Si 3.41-3.72, 1 Rb 3.73
Rb 0.1670 0.1670 0.8330  6 Si 3.53-3.73, 3 Rb 3.73
Rb 0.1670 0.8330 0.1670  6 Si 3.53-3.73, 3 Rb 3.73
Rb 0.3330 0.3330 0.3330  6 Si 3.53-3.73, 3 Rb 3.73
Rb 0.3330 0.6670 0.6670  6 Si 3.53-3.73, 3 Rb 3.73
Rb 0.3362 0.0654 0.1412  6 Si 3.41-3.72, 1 Rb 3.73
Rb 0.3362 0.9346 0.8588  6 Si 3.41-3.72, 1 Rb 3.73
Rb 0.3588 0.4346 0.8362  6 Si 3.41-3.72, 1 Rb 3.73
Rb 0.3588 0.5654 0.1638  6 Si 3.41-3.72, 1 Rb 3.73
Rb 0.4346 0.1638 0.6412  6 Si 3.41-3.72, 1 Rb 3.73
Rb 0.4346 0.8362 0.3588  6 Si 3.41-3.72, 1 Rb 3.73
Rb 0.5654 0.1638 0.3588  6 Si 3.41-3.72, 1 Rb 3.73
Rb 0.5654 0.8362 0.6412  6 Si 3.41-3.72, 1 Rb 3.73
Rb 0.6412 0.4346 0.1638  6 Si 3.41-3.72, 1 Rb 3.73
Rb 0.6412 0.5654 0.8362  6 Si 3.41-3.72, 1 Rb 3.73
Rb 0.6638 0.0654 0.8588  6 Si 3.41-3.72, 1 Rb 3.73
Rb 0.6638 0.9346 0.1412  6 Si 3.41-3.72, 1 Rb 3.73
Rb 0.6670 0.3330 0.6670  6 Si 3.53-3.73, 3 Rb 3.73
Rb 0.6670 0.6670 0.3330  6 Si 3.53-3.73, 3 Rb 3.73
Rb 0.8330 0.1670 0.1670  6 Si 3.53-3.73, 3 Rb 3.73
Rb 0.8330 0.8330 0.8330  6 Si 3.53-3.73, 3 Rb 3.73
Rb 0.8362 0.3588 0.4346  6 Si 3.41-3.72, 1 Rb 3.73
Rb 0.8362 0.6412 0.5654  6 Si 3.41-3.72, 1 Rb 3.73
Rb 0.8588 0.3362 0.9346  6 Si 3.41-3.72, 1 Rb 3.73
Rb 0.8588 0.6638 0.0654  6 Si 3.41-3.72, 1 Rb 3.73
Rb 0.9346 0.1412 0.6638  6 Si 3.41-3.72, 1 Rb 3.73
Rb 0.9346 0.8588 0.3362  6 Si 3.41-3.72, 1 Rb 3.73
Si 0.0613 0.4284 0.3156  3 Si 2.41-2.43
Si 0.0613 0.5716 0.6844  3 Si 2.41-2.43
Si 0.0663 0.0663 0.0663  3 Si 2.42
Si 0.0663 0.9337 0.9337  3 Si 2.42
Si 0.0716 0.4387 0.8156  3 Si 2.41-2.43
Si 0.0716 0.5613 0.1844  3 Si 2.41-2.43
Si 0.1844 0.0716 0.5613  3 Si 2.41-2.43
Si 0.1844 0.9284 0.4387  3 Si 2.41-2.43
Si 0.3156 0.0613 0.4284  3 Si 2.41-2.43
Si 0.3156 0.9387 0.5716  3 Si 2.41-2.43
Si 0.4284 0.3156 0.0613  3 Si 2.41-2.43
Si 0.4284 0.6844 0.9387  3 Si 2.41-2.43
Si 0.4337 0.4337 0.5663  3 Si 2.42
Si 0.4337 0.5663 0.4337  3 Si 2.42
Si 0.4387 0.1844 0.9284  3 Si 2.41-2.43
Si 0.4387 0.8156 0.0716  3 Si 2.41-2.43
Si 0.5613 0.1844 0.0716  3 Si 2.41-2.43
Si 0.5613 0.8156 0.9284  3 Si 2.41-2.43
Si 0.5663 0.4337 0.4337  3 Si 2.42
Si 0.5663 0.5663 0.5663  3 Si 2.42
Si 0.5716 0.3156 0.9387  3 Si 2.41-2.43
Si 0.5716 0.6844 0.0613  3 Si 2.41-2.43
Si 0.6844 0.0613 0.5716  3 Si 2.41-2.43
Si 0.6844 0.9387 0.4284  3 Si 2.41-2.43
Si 0.8156 0.0716 0.4387  3 Si 2.41-2.43
Si 0.8156 0.9284 0.5613  3 Si 2.41-2.43
Si 0.9284 0.4387 0.1844  3 Si 2.41-2.43
Si 0.9284 0.5613 0.8156  3 Si 2.41-2.43
Si 0.9337 0.0663 0.9337  3 Si 2.42
Si 0.9337 0.9337 0.0663  3 Si 2.42
Si 0.9387 0.4284 0.6844  3 Si 2.41-2.43
Si 0.9387 0.5716 0.3156  3 Si 2.41-2.43

# 2
## LiSc4Si (GGA-PBEsol)

Data for LiSc4Si after structural relaxation.

Properties
Density of states at the Fermi level in states/eV per atom: 1.07
Raw formation energy in eV per atom: 0.352
DFT total energy in eV per cell: -32.02
Spin magnetization in μB per formula unit: 0.00

a b c (Å): 5.6582 5.6582 5.6582
angles (deg): 60.00 60.00 60.00
Last column: nearest neighbours and their distance in Å.
Element x y z (fractional)
Li 0.0000 0.0000 0.0000  12 Sc 3.32, 4 Si 3.46
Sc 0.1283 0.6239 0.6239  6 Sc 2.80-2.85
Sc 0.6239 0.1283 0.6239  6 Sc 2.80-2.85
Sc 0.6239 0.6239 0.1283  6 Sc 2.80-2.85
Sc 0.6239 0.6239 0.6239  6 Sc 2.80-2.85
Si 0.2500 0.2500 0.2500  12 Sc 3.31, 4 Li 3.46

# 3
## TaTe2RhO (GGA-PBEsol)

Data for TaTe2RhO after structural relaxation.

Properties
Density of states at the Fermi level in states/eV per atom: 1.18
Raw formation energy in eV per atom: 1.147
DFT total energy in eV per cell: -27.26
Spin magnetization in μB per formula unit: 1.88

a b c (Å): 5.2712 5.2712 4.6795
angles (deg): 90.00 90.00 90.00
Last column: nearest neighbours and their distance in Å.
Element x y z (fractional)
Ta 0.0000 0.0000 0.0000  2 Rh 2.34
Te 0.0000 0.5000 0.0000  2 Ta 2.64
Te 0.5000 0.0000 0.0000  2 Ta 2.64
Rh 0.0000 0.0000 0.5000  2 Ta 2.34
O 0.5000 0.5000 0.5000  8 Te 3.52, 4 Rh 3.73

# 4
## Sc3SnGe (GGA-PBEsol)

Data for Sc3SnGe after structural relaxation.

Properties
Density of states at the Fermi level in states/eV per atom: 0.55
DFT total energy in eV per cell: -31.16
Spin magnetization in μB per formula unit: 0.00

a b c (Å): 4.9550 4.9550 4.9550
angles (deg): 90.00 90.00 90.00
Last column: nearest neighbours and their distance in Å.
Element x y z (fractional)
Sc 0.0000 0.0000 0.5000  2 Ge 2.48
Sc 0.0000 0.5000 0.0000  2 Ge 2.48
Sc 0.5000 0.0000 0.0000  2 Ge 2.48
Sn 0.5000 0.5000 0.5000  12 Sc 3.50
Ge 0.0000 0.0000 0.0000  6 Sc 2.48

# 5
## LiMg2H7Os (GGA-PBEsol)

Data for LiMg2H7Os after structural relaxation.

Properties
Density of states at the Fermi level in states/eV per atom: 0.00
DFT total energy in eV per cell: -89.49
Spin magnetization in μB per formula unit: 0.00

a b c (Å): 4.6674 4.6674 10.6850
angles (deg): 90.00 90.00 120.00
Last column: nearest neighbours and their distance in Å.
Element x y z (fractional)
Li 0.0000 0.0000 0.2500  6 H 2.12
Li 0.0000 0.0000 0.7500  6 H 2.12
Mg 0.3333 0.6667 0.0756  1 H 1.86
Mg 0.3333 0.6667 0.4244  1 H 1.86
Mg 0.6667 0.3333 0.5756  1 H 1.86
Mg 0.6667 0.3333 0.9244  1 H 1.86
H 0.1668 0.3336 0.5970  1 Os 1.70
H 0.1668 0.3336 0.9030  1 Os 1.70
H 0.1668 0.8332 0.5970  1 Os 1.70
H 0.1668 0.8332 0.9030  1 Os 1.70
H 0.3333 0.6667 0.2500  2 Mg 1.86
H 0.3336 0.1668 0.0970  1 Os 1.70
H 0.3336 0.1668 0.4030  1 Os 1.70
H 0.6664 0.8332 0.5970  1 Os 1.70
H 0.6664 0.8332 0.9030  1 Os 1.70
H 0.6667 0.3333 0.7500  2 Mg 1.86
H 0.8332 0.1668 0.0970  1 Os 1.70
H 0.8332 0.1668 0.4030  1 Os 1.70
H 0.8332 0.6664 0.0970  1 Os 1.70
H 0.8332 0.6664 0.4030  1 Os 1.70
Os 0.0000 0.0000 0.0000  6 H 1.70
Os 0.0000 0.0000 0.5000  6 H 1.70

# 6
## Y2AgO2 (GGA-PBEsol)

Data for Y2AgO2 after structural relaxation.

Properties
Density of states at the Fermi level in states/eV per atom: 0.18
Raw formation energy in eV per atom: -2.483
DFT total energy in eV per cell: -39.87
Spin magnetization in μB per formula unit: 0.00

a b c (Å): 6.4984 6.4984 6.4984
angles (deg): 145.34 145.34 49.83
Last column: nearest neighbours and their distance in Å.
Element x y z (fractional)
Y 0.1588 0.1588 0.0000  4 O 2.21
Y 0.8412 0.8412 0.0000  4 O 2.21
Ag 0.5000 0.5000 0.0000  8 Y 3.32, 8 O 3.53
O 0.2500 0.7500 0.5000  4 Y 2.21
O 0.7500 0.2500 0.5000  4 Y 2.21

# 7
## BeFe4Sb (GGA-PBEsol)

Data for BeFe4Sb after structural relaxation.

Properties
Density of states at the Fermi level in states/eV per atom: 0.77
Raw formation energy in eV per atom: 0.255
DFT total energy in eV per cell: -42.88
Spin magnetization in μB per formula unit: 7.59

a b c (Å): 4.7202 4.7202 4.7202
angles (deg): 60.00 60.00 60.00
Last column: nearest neighbours and their distance in Å.
Element x y z (fractional)
Be 0.0000 0.0000 0.0000  12 Fe 2.77, 4 Sb 2.89
Fe 0.3742 0.3742 0.3742  6 Fe 2.34-2.38
Fe 0.3742 0.3742 0.8775  6 Fe 2.34-2.38
Fe 0.3742 0.8775 0.3742  6 Fe 2.34-2.38
Fe 0.8775 0.3742 0.3742  6 Fe 2.34-2.38
Sb 0.7500 0.7500 0.7500  12 Fe 2.77, 4 Be 2.89

# 8
## MnBe2Hg (GGA-PBEsol)

Data for MnBe2Hg after structural relaxation.

Properties
Density of states at the Fermi level in states/eV per atom: 0.40
DFT total energy in eV per cell: -16.98
Spin magnetization in μB per formula unit: 2.92

a b c (Å): 4.6320 4.6320 4.6320
angles (deg): 134.60 134.60 66.15
Last column: nearest neighbours and their distance in Å.
Element x y z (fractional)
Mn 0.0000 0.0000 0.0000  8 Be 2.53-2.64, 4 Hg 2.64
Be 0.5000 0.5000 0.0000  4 Mn 2.53, 4 Be 2.64, 4 Hg 2.64
Be 0.7500 0.2500 0.5000  4 Hg 2.53, 4 Mn 2.64, 4 Be 2.64
Hg 0.2500 0.7500 0.5000  8 Be 2.53-2.64, 4 Mn 2.64

# 9
## Re2SiAu (GGA-PBEsol)

Data for Re2SiAu after structural relaxation.

Properties
Density of states at the Fermi level in states/eV per atom: 0.74
Raw formation energy in eV per atom: 0.549
DFT total energy in eV per cell: -34.14
Spin magnetization in μB per formula unit: 0.00

a b c (Å): 4.3779 4.3779 4.3779
angles (deg): 60.00 60.00 60.00
Last column: nearest neighbours and their distance in Å.
Element x y z (fractional)
Re 0.0000 0.0000 0.0000  4 Au 2.68, 4 Re 2.68
Re 0.2500 0.2500 0.2500  4 Re 2.68, 4 Si 2.68
Si 0.5000 0.5000 0.5000  4 Au 2.68, 4 Re 2.68
Au 0.7500 0.7500 0.7500  4 Re 2.68, 4 Si 2.68

# 10
## Zr2IrAu (GGA-PBEsol)

Data for Zr2IrAu after structural relaxation.

Properties
Density of states at the Fermi level in states/eV per atom: 0.98
DFT total energy in eV per cell: -34.60
Spin magnetization in μB per formula unit: 0.00

a b c (Å): 3.0404 3.0404 7.8103
angles (deg): 90.00 90.00 90.00
Last column: nearest neighbours and their distance in Å.
Element x y z (fractional)
Zr 0.0000 0.0000 0.2330  4 Ir 2.82, 4 Au 2.99, 4 Zr 3.04
Zr 0.0000 0.0000 0.7670  4 Ir 2.82, 4 Au 2.99, 4 Zr 3.04
Ir 0.5000 0.5000 0.0000  8 Zr 2.82, 4 Ir 3.04
Au 0.5000 0.5000 0.5000  8 Zr 2.99, 4 Au 3.04

The highest spin magnetization belongs to which entry?
BeFe4Sb